# 1
Here is a geometry-optimized Zn4TcSe structure from Alexandria. Energies are from PBE-GGA.

Space-group type: F-43m, No. 216
Uncorrected formation energy, meV/atom: 251
Magnetization, μB per cell: 0.00
DOS at the Fermi energy, states/eV per atom: 0.3033

Cell lengths 5.0435, 5.0435, 5.0435 Å; angles 60.00, 60.00, 60.00 degrees
Last column: nearest neighbours and their distance in Å.
Sites, in units of the cell vectors:
Tc  0.0000  0.0000  0.0000  12 Zn 2.95, 4 Se 3.09
Zn  0.3735  0.8794  0.3735  6 Zn 2.49-2.55
Se  0.7500  0.7500  0.7500  12 Zn 2.96, 4 Tc 3.09
Zn  0.3735  0.3735  0.8794  6 Zn 2.49-2.55
Zn  0.8794  0.3735  0.3735  6 Zn 2.49-2.55
Zn  0.3735  0.3735  0.3735  6 Zn 2.49-2.55



# 2
Here is a geometry-optimized ZrTc2Se structure from Alexandria. Energies are from PBE-GGA.

Space-group type: P4mm, No. 99
Uncorrected formation energy, meV/atom: -176
Magnetization, μB per cell: 0.00
DOS at the Fermi energy, states/eV per atom: 0.8704

Cell lengths 3.1268, 3.1268, 7.0171 Å; angles 90.00, 90.00, 90.00 degrees
Last column: nearest neighbours and their distance in Å.
Sites, in units of the cell vectors:
Zr  0.0000  0.0000  0.5059  4 Se 2.81, 4 Tc 3.00, 4 Zr 3.13
Se  0.5000  0.5000  0.7539  4 Zr 2.81, 4 Tc 2.91, 4 Se 3.13
Tc  0.0000  0.0000  0.0230  4 Tc 2.60, 4 Se 2.91
Tc  0.5000  0.5000  0.2172  4 Tc 2.60



# 3
Here is a geometry-optimized ZrTc2Se structure from Alexandria. Energies are from PBE-GGA.

Space-group type: Pmmm, No. 47
Uncorrected formation energy, meV/atom: -40
Magnetization, μB per cell: 0.00
DOS at the Fermi energy, states/eV per atom: 0.7630

Cell lengths 3.2685, 4.2477, 4.8441 Å; angles 90.00, 90.00, 90.00 degrees
Last column: nearest neighbours and their distance in Å.
Sites, in units of the cell vectors:
Tc  0.5000  0.5000  0.0000  4 Tc 2.68, 4 Se 2.92
Zr  0.5000  0.0000  0.5000  4 Se 2.68, 4 Tc 2.92
Se  0.0000  0.5000  0.5000  4 Zr 2.68, 4 Tc 2.92
Tc  0.0000  0.0000  0.0000  4 Tc 2.68, 4 Zr 2.92



# 4
Here is a geometry-optimized ZrTc2Se structure from Alexandria. Energies are from PBE-GGA.

Space-group type: Pmm2, No. 25
Uncorrected formation energy, meV/atom: -96
Magnetization, μB per cell: 0.00
DOS at the Fermi energy, states/eV per atom: 0.6552

Cell lengths 3.1135, 4.0200, 5.3927 Å; angles 90.00, 90.00, 90.00 degrees
Last column: nearest neighbours and their distance in Å.
Sites, in units of the cell vectors:
Zr  0.0000  0.0000  0.5087  2 Tc 2.60-2.79, 4 Se 2.85
Tc  0.0000  0.0000  0.0266  2 Zr 2.60-2.79, 4 Tc 2.74
Se  0.5000  0.5000  0.7492  1 Tc 2.51
Tc  0.5000  0.5000  0.2156  1 Se 2.51, 4 Tc 2.74